Record 1
First-principles (PBE) data for PHS2I after structural relaxation, as listed in Alexandria via LeMat-Bulk.

The structure in POSCAR format:
```
PHS2I
1.0
-4.694 -0.348 -1.814
1.362 -4.000 -2.755
-0.817 -1.997 2.496
I P S H
1 1 2 1
Direct
0.500 0.500 0.500
0.000 0.000 0.500
0.000 0.500 0.000
0.500 0.000 0.000
0.000 0.000 0.000
```

Output
E above lowest polymorph = 0 meV/atom


Record 2
First-principles (PBE) data for PHS2I after structural relaxation, as listed in Alexandria via LeMat-Bulk.

The structure in POSCAR format:
```
PHS2I
1.0
5.190 0.000 0.000
0.000 5.190 0.000
0.000 0.000 5.433
I P S H
1 1 2 1
Direct
0.000 0.000 0.000
0.000 0.000 0.500
0.000 0.500 0.000
0.500 0.000 0.000
0.500 0.500 0.500
```

Output
E above lowest polymorph = 613 meV/atom


Record 3
First-principles (PBE) data for SbPHI2 after structural relaxation, as listed in Alexandria via LeMat-Bulk.

The structure in POSCAR format:
```
SbPHI2
1.0
-4.550 1.143 2.910
-3.124 -1.456 -4.313
-0.088 -3.654 1.297
I Sb H P
2 1 1 1
Direct
0.000 0.500 0.000
0.500 0.000 0.000
0.000 0.000 0.500
0.000 0.000 0.000
0.500 0.500 0.500
```

Output
E above lowest polymorph = 0 meV/atom


Number 1: total magnetic moment 0.0 Bohr magnetons per cell. Number 2: total magnetic moment 2.6 Bohr magnetons per cell. Number 3: total magnetic moment 0.0 Bohr magnetons per cell.